# Cr4MoPb PBE relaxed
data_Cr4MoPb
_space_group_name_H-M_alt 'P 1'
_space_group_IT_number 1
_space_group_name_Hall 'P 1'
_cell_length_a 4.9230
_cell_length_b 4.9230
_cell_length_c 4.9230
_cell_angle_alpha 60.00
_cell_angle_beta 60.00
_cell_angle_gamma 60.00
loop_
_atom_site_label
_atom_site_type_symbol
_atom_site_fract_x
_atom_site_fract_y
_atom_site_fract_z
Cr1 Cr 0.1253 0.1253 0.1253
Cr2 Cr 0.1253 0.1253 0.6240
Cr3 Cr 0.1253 0.6240 0.1253
Cr4 Cr 0.6240 0.1253 0.1253
Mo1 Mo 0.5000 0.5000 0.5000
Pb1 Pb 0.7500 0.7500 0.7500
# Total energy (eV per atom): -8.4771
# SG: F-43m (216)
# DFT formation energy (eV/atom): 0.362


# CoSbAuI2 PBE relaxed
data_CoSbAuI2
_space_group_name_H-M_alt 'P 1'
_space_group_IT_number 1
_space_group_name_Hall 'P 1'
_cell_length_a 5.3521
_cell_length_b 5.3521
_cell_length_c 4.7794
_cell_angle_alpha 90.00
_cell_angle_beta 90.00
_cell_angle_gamma 90.00
loop_
_atom_site_label
_atom_site_type_symbol
_atom_site_fract_x
_atom_site_fract_y
_atom_site_fract_z
Co1 Co 0.0000 0.0000 0.0000
Sb1 Sb 0.0000 0.0000 0.5000
Au1 Au 0.5000 0.5000 0.5000
I1 I 0.0000 0.5000 0.0000
I2 I 0.5000 0.0000 0.0000
# Raw formation energy (eV/atom): 0.552
# Energy above the lowest structure with this stoichiometry (kJ/mol of atoms): 0.0
# Total energy (eV per atom): -2.9688
# SG: P4/mmm (123)